1.
First-principles (PBE) data for a relaxed structure of Nb3AuBr, as listed in the Alexandria database.

The uncorrected formation energy is 1.116 eV per atom. The total energy comes out at -29.58 eV per cell. The total moment is 0.00 μB per formula unit. The calculation puts the energy above the most stable polymorph in this dataset at 0 kJ/mol of formula units. As for the density of states at the Fermi level: 7.81 states/eV/f.u.

The structure belongs to space group Pm-3m (No. 221); the cell edges are 4.727, 4.727 and 4.727 Å and the angles 90.00°, 90.00° and 90.00°. Symmetry generates all atoms from Nb at (0.000, 0.000, 0.500), Au at (0.500, 0.500, 0.500) and Br at (0.000, 0.000, 0.000).

2.
First-principles (PBE) data for a relaxed structure of Nb2AuBr, as listed in the Alexandria database.

The uncorrected formation energy is 0.323 eV per atom. The total energy comes out at -95.20 eV per cell. The total moment is 0.00 μB per formula unit. The calculation puts the energy above the most stable polymorph in this dataset at 0 kJ/mol of formula units. As for the density of states at the Fermi level: 2.91 states/eV/f.u.

The structure belongs to space group Fm-3m (No. 225); the cell edges are 6.613, 6.613 and 6.613 Å and the angles 90.00°, 90.00° and 90.00°. Symmetry generates all atoms from Nb at (0.250, 0.250, 0.250), Au at (0.000, 0.000, 0.000) and Br at (0.000, 0.000, 0.500).

3.
First-principles (PBE) data for a relaxed structure of NbAu3Br, as listed in the Alexandria database.

The uncorrected formation energy is 1.432 eV per atom. The total energy comes out at -14.41 eV per cell. The total moment is 3.46 μB per formula unit. The calculation puts the energy above the most stable polymorph in this dataset at 228 kJ/mol of formula units. As for the density of states at the Fermi level: 7.23 states/eV/f.u.

The structure belongs to space group Pm-3m (No. 221); the cell edges are 5.046, 5.046 and 5.046 Å and the angles 90.00°, 90.00° and 90.00°. Symmetry generates all atoms from Nb at (0.000, 0.000, 0.000), Au at (0.000, 0.500, 0.500) and Br at (0.500, 0.500, 0.500).

4.
First-principles (PBE) data for a relaxed structure of Nb3AuBr, as listed in the Alexandria database.

The uncorrected formation energy is 1.591 eV per atom. The total energy comes out at -27.20 eV per cell. The total moment is 0.00 μB per formula unit. The calculation puts the energy above the most stable polymorph in this dataset at 229 kJ/mol of formula units. As for the density of states at the Fermi level: 6.66 states/eV/f.u.

The structure belongs to space group Pm-3m (No. 221); the cell edges are 5.047, 5.047 and 5.047 Å and the angles 90.00°, 90.00° and 90.00°. Symmetry generates all atoms from Nb at (0.000, 0.000, 0.500), Au at (0.000, 0.000, 0.000) and Br at (0.500, 0.500, 0.500).

5.
First-principles (PBE) data for a relaxed structure of NbAu2Br, as listed in the Alexandria database.

The uncorrected formation energy is 0.347 eV per atom. The total energy comes out at -67.64 eV per cell. The total moment is 1.75 μB per formula unit. The calculation puts the energy above the most stable polymorph in this dataset at 0 kJ/mol of formula units. As for the density of states at the Fermi level: 3.56 states/eV/f.u.

The structure belongs to space group I-42d (No. 122); the cell edges are 8.279, 8.279 and 5.274 Å and the angles 90.00°, 90.00° and 90.00°. Symmetry generates all atoms from Nb at (0.000, 0.000, 0.000), Au at (0.208, 0.750, 0.125) and Br at (0.000, 0.000, 0.500).

6.
First-principles (PBE) data for a relaxed structure of NbNiAuBr2, as listed in the Alexandria database.

The uncorrected formation energy is 0.637 eV per atom. The total energy comes out at -19.29 eV per cell. The total moment is 0.00 μB per formula unit. As for the density of states at the Fermi level: 10.56 states/eV/f.u.

The structure belongs to space group P4/mmm (No. 123); the cell edges are 5.063, 5.063 and 4.842 Å and the angles 90.00°, 90.00° and 90.00°. Symmetry generates all atoms from Nb at (0.000, 0.000, 0.000), Ni at (0.000, 0.000, 0.500), Au at (0.500, 0.500, 0.500) and Br at (0.000, 0.500, 0.000).

7.
First-principles (PBE) data for a relaxed structure of Nb2OsAuBr, as listed in the Alexandria database.

The uncorrected formation energy is 1.783 eV per atom. The total energy comes out at -27.40 eV per cell. The total moment is 1.35 μB per formula unit. As for the density of states at the Fermi level: 6.72 states/eV/f.u.

The structure belongs to space group P4/mmm (No. 123); the cell edges are 4.689, 4.689 and 4.752 Å and the angles 90.00°, 90.00° and 90.00°. Symmetry generates all atoms from Nb at (0.000, 0.500, 0.000), Os at (0.000, 0.000, 0.500), Au at (0.500, 0.500, 0.500) and Br at (0.500, 0.500, 0.000).

8.
First-principles (PBE) data for a relaxed structure of NbAuSeBr2, as listed in the Alexandria database.

The uncorrected formation energy is 0.766 eV per atom. The total energy comes out at -16.35 eV per cell. The total moment is 3.12 μB per formula unit. The calculation puts the energy above the most stable polymorph in this dataset at 340 kJ/mol of formula units. As for the density of states at the Fermi level: 6.53 states/eV/f.u.

The structure belongs to space group P4/mmm (No. 123); the cell edges are 5.131, 5.131 and 5.294 Å and the angles 90.00°, 90.00° and 90.00°. Symmetry generates all atoms from Nb at (0.000, 0.000, 0.000), Au at (0.500, 0.500, 0.500), Se at (0.500, 0.500, 0.000) and Br at (0.000, 0.500, 0.500).

9.
First-principles (PBE) data for a relaxed structure of NbAuSe2Br, as listed in the Alexandria database.

The uncorrected formation energy is 0.817 eV per atom. The total energy comes out at -17.90 eV per cell. The total moment is 2.37 μB per formula unit. The calculation puts the energy above the most stable polymorph in this dataset at 350 kJ/mol of formula units. As for the density of states at the Fermi level: 6.15 states/eV/f.u.

The structure belongs to space group P4/mmm (No. 123); the cell edges are 5.124, 5.124 and 5.037 Å and the angles 90.00°, 90.00° and 90.00°. Symmetry generates all atoms from Nb at (0.000, 0.000, 0.000), Au at (0.500, 0.500, 0.500), Se at (0.000, 0.500, 0.500) and Br at (0.500, 0.500, 0.000).

10.
First-principles (PBE) data for a relaxed structure of NbAuSeBr2, as listed in the Alexandria database.

The uncorrected formation energy is 0.061 eV per atom. The total energy comes out at -19.87 eV per cell. The total moment is 0.00 μB per formula unit. The calculation puts the energy above the most stable polymorph in this dataset at 0 kJ/mol of formula units. As for the density of states at the Fermi level: 3.31 states/eV/f.u.

The structure belongs to space group P4/mmm (No. 123); the cell edges are 5.180, 5.180 and 5.017 Å and the angles 90.00°, 90.00° and 90.00°. Symmetry generates all atoms from Nb at (0.000, 0.000, 0.000), Au at (0.500, 0.500, 0.500), Se at (0.000, 0.000, 0.500) and Br at (0.000, 0.500, 0.000).

11.
First-principles (PBE) data for a relaxed structure of NbAuSe2Br, as listed in the Alexandria database.

The uncorrected formation energy is 0.091 eV per atom. The total energy comes out at -21.53 eV per cell. The total moment is 0.00 μB per formula unit. The calculation puts the energy above the most stable polymorph in this dataset at 0 kJ/mol of formula units. As for the density of states at the Fermi level: 3.87 states/eV/f.u.

The structure belongs to space group P4/mmm (No. 123); the cell edges are 5.027, 5.027 and 5.205 Å and the angles 90.00°, 90.00° and 90.00°. Symmetry generates all atoms from Nb at (0.000, 0.000, 0.000), Au at (0.500, 0.500, 0.500), Se at (0.000, 0.500, 0.000) and Br at (0.000, 0.000, 0.500).

12.
First-principles (PBE) data for a relaxed structure of Nb2SiAuBr, as listed in the Alexandria database.

The uncorrected formation energy is 0.772 eV per atom. The total energy comes out at -26.65 eV per cell. The total moment is 0.00 μB per formula unit. As for the density of states at the Fermi level: 7.12 states/eV/f.u.

The structure belongs to space group P4/mmm (No. 123); the cell edges are 4.879, 4.879 and 4.578 Å and the angles 90.00°, 90.00° and 90.00°. Symmetry generates all atoms from Nb at (0.000, 0.500, 0.000), Si at (0.000, 0.000, 0.000), Au at (0.000, 0.000, 0.500) and Br at (0.500, 0.500, 0.500).

13.
First-principles (PBE) data for a relaxed structure of NbZnAu2Br, as listed in the Alexandria database.

The uncorrected formation energy is 0.551 eV per atom. The total energy comes out at -16.82 eV per cell. The total moment is 0.00 μB per formula unit. As for the density of states at the Fermi level: 2.60 states/eV/f.u.

The structure belongs to space group P4/mmm (No. 123); the cell edges are 5.274, 5.274 and 4.994 Å and the angles 90.00°, 90.00° and 90.00°. Symmetry generates all atoms from Nb at (0.000, 0.000, 0.000), Zn at (0.500, 0.500, 0.500), Au at (0.000, 0.500, 0.000) and Br at (0.000, 0.000, 0.500).

14.
First-principles (PBE) data for a relaxed structure of Nd4Au2Br3, as listed in the Alexandria database.

The uncorrected formation energy is -1.157 eV per atom. The total energy comes out at -82.11 eV per cell. The total moment is 0.00 μB per formula unit. As for the density of states at the Fermi level: 7.69 states/eV/f.u.

The structure belongs to space group C2/m (No. 12); the cell edges are 7.302, 4.216 and 18.848 Å and the angles 90.00°, 90.03° and 90.00°. Symmetry generates all atoms from Nd at (0.000, 0.000, 0.198), Nd at (0.166, 0.500, 0.385), Au at (0.167, 0.500, 0.705), Br at (0.000, 0.000, 0.500) and Br at (0.166, 0.500, 0.100).